Computed, not measured: an optimized crystal structure of Zr2MnRe at the PBE-GGA level of DFT.

Values from the calculation:
Spin magnetization ... 5.57 μB per cell
Formation enthalpy at 0 K ... 0.505 eV/atom
Space-group type ... I-42d

abc: 7.2903 7.2903 5.8979
angles: 51.83 51.83 90.00
With the nearest neighbours (Å) after each atom.
Fractional positions:
Re: 0.0000 0.0000 0.0000  4 Zr 2.67, 2 Mn 2.87
Re: 0.7500 0.2500 0.5000  4 Zr 2.67, 2 Mn 2.87
Mn: 0.5000 0.5000 0.0000  4 Zr 2.68, 2 Re 2.87
Mn: 0.2500 0.7500 0.5000  4 Zr 2.68, 2 Re 2.87
Zr: 0.6266 0.1250 0.2500  2 Re 2.67, 2 Mn 2.68, 2 Zr 2.87
Zr: 0.1234 0.6250 0.2500  2 Re 2.67, 2 Mn 2.68, 2 Zr 2.87
Zr: 0.3750 0.3734 0.7500  2 Re 2.67, 2 Mn 2.68, 2 Zr 2.87
Zr: 0.8750 0.8766 0.7500  2 Re 2.67, 2 Mn 2.68, 2 Zr 2.87